No. 1
4
Lattice="4.335 0.000 0.000 0.000 4.335 0.000 0.000 0.000 3.481" Properties=species:S:1:pos:R:3 comment="GGA-PBE Sc2CoSi, relaxed" e_tot_ev_per_atom=-6.79 sg="P4/mmm (123)" raw_formation_energy_kcal_per_mol_atoms=-11.379 pbc="T T T"
Sc 0.000 2.167 0.000
Sc 2.167 0.000 0.000
Co 0.000 0.000 1.741
Si 2.167 2.167 1.741


No. 2
38
Lattice="12.002 0.000 0.000 0.000 12.002 0.000 0.000 0.000 3.935" Properties=species:S:1:pos:R:3 comment="GGA-PBE Sc5Co4Si10, relaxed" e_tot_ev_per_atom=-6.76 sg="P4/mbm (127)" raw_formation_energy_kcal_per_mol_atoms=-17.062 pbc="T T T"
Sc 0.000 0.000 0.000
Sc 1.340 4.661 1.968
Sc 2.122 8.124 1.968
Sc 3.879 2.122 1.968
Sc 4.661 10.662 1.968
Sc 6.001 6.001 0.000
Sc 7.341 1.340 1.968
Sc 8.124 9.880 1.968
Sc 9.880 3.879 1.968
Sc 10.662 7.341 1.968
Co 0.301 9.053 0.000
Co 2.949 0.301 0.000
Co 3.052 6.302 0.000
Co 5.700 3.052 0.000
Co 6.302 8.950 0.000
Co 8.950 5.700 0.000
Co 9.053 11.701 0.000
Co 11.701 2.949 0.000
Si 0.015 10.033 1.968
Si 0.820 6.821 0.000
Si 1.877 2.385 0.000
Si 1.969 0.015 1.968
Si 2.385 10.125 0.000
Si 3.616 4.124 0.000
Si 4.032 6.016 1.968
Si 4.124 8.386 0.000
Si 5.182 0.820 0.000
Si 5.986 4.032 1.968
Si 6.016 7.970 1.968
Si 6.821 11.183 0.000
Si 7.878 3.616 0.000
Si 7.970 5.986 1.968
Si 8.386 7.878 0.000
Si 9.617 1.877 0.000
Si 10.033 11.987 1.968
Si 10.125 9.617 0.000
Si 11.183 5.182 0.000
Si 11.987 1.969 1.968


No. 3
8
Lattice="3.951 0.000 0.000 0.000 3.521 0.000 0.000 0.000 9.992" Properties=species:S:1:pos:R:3 comment="GGA-PBE Sc2CoSi, relaxed" e_tot_ev_per_atom=-6.88 sg="Amm2 (38)" raw_formation_energy_kcal_per_mol_atoms=-13.440 pbc="T T T"
Sc 0.000 0.000 0.000
Sc 0.000 1.761 4.996
Sc 1.975 0.000 2.877
Sc 1.975 1.761 7.873
Co 0.000 0.000 7.083
Co 0.000 1.761 2.087
Si 1.975 0.000 5.757
Si 1.975 1.761 0.761